Record 1
Computed, not measured: a geometry-optimized Ti2CoOsPb structure at the PBE level of DFT.

extended XYZ file:
```
5
Lattice="4.726 0.000 0.000 0.000 4.726 0.000 0.000 0.000 5.147" Properties=species:S:1:pos:R:3 pbc="T T T"
Ti 0.000 2.363 0.000
Ti 2.363 0.000 0.000
Co 0.000 0.000 2.574
Os 2.363 2.363 0.000
Pb 2.363 2.363 2.574
```

Computed properties:
* VASP energy: -32.8 eV for the cell shown
* symmetry: P4/mmm (123)
* energy of formation: 0.9992 eV per atom

***

Record 2
Computed, not measured: a geometry-optimized TaPb3 structure at the PBE level of DFT.

extended XYZ file:
```
8
Lattice="6.552 0.000 0.000 -3.276 5.674 0.000 0.000 0.000 5.653" Properties=species:S:1:pos:R:3 pbc="T T T"
Ta 0.000 3.783 1.413
Ta 3.276 1.891 4.240
Pb 0.000 1.961 4.240
Pb -1.578 4.694 4.240
Pb 1.698 0.980 1.413
Pb 1.578 4.694 4.240
Pb 4.854 0.980 1.413
Pb 3.276 3.713 1.413
```

Computed properties:
* VASP energy: -40.2 eV for the cell shown
* symmetry: P6_3/mmc (194)
* energy of formation: 0.7215 eV per atom

***

Record 3
Computed, not measured: a geometry-optimized TaCuSn structure at the PBE level of DFT.

extended XYZ file:
```
6
Lattice="3.989 0.000 0.000 0.000 3.989 0.000 0.000 0.000 6.804" Properties=species:S:1:pos:R:3 pbc="T T T"
Ta 0.997 0.997 0.993
Ta 2.992 2.992 5.810
Cu 0.997 0.997 5.324
Cu 2.992 2.992 1.480
Sn 0.997 2.992 3.402
Sn 2.992 0.997 3.402
```

Computed properties:
* VASP energy: -37.0 eV for the cell shown
* symmetry: P4/nmm (129)
* energy of formation: 0.4758 eV per atom

***

Record 4
Computed, not measured: a geometry-optimized HfBe10Ni2 structure at the PBE level of DFT.

extended XYZ file:
```
13
Lattice="0.000 5.275 5.323 2.238 0.000 5.323 2.238 5.275 0.000" Properties=species:S:1:pos:R:3 pbc="T T T"
Hf 0.000 0.000 0.000
Be 1.119 2.637 0.000
Be 2.238 3.424 1.881
Be 2.238 4.106 4.168
Be 2.238 7.126 1.881
Be 2.238 4.106 6.478
Be 1.119 2.637 5.323
Be 2.238 6.444 4.168
Be 2.238 3.424 8.765
Be 2.238 6.444 6.478
Be 2.238 7.126 8.765
Ni 1.119 0.000 2.662
Ni 1.119 5.275 2.662
```

Computed properties:
* VASP energy: -61.2 eV for the cell shown
* symmetry: Fmmm (69)
* energy of formation: -0.1825 eV per atom

***

Record 5
Computed, not measured: a geometry-optimized Mg2Tl7Pb2 structure at the PBE level of DFT.

extended XYZ file:
```
11
Lattice="-2.797 6.495 4.499 2.797 -6.495 4.499 2.797 6.495 -4.499" Properties=species:S:1:pos:R:3 pbc="T T T"
Mg 0.000 0.000 0.000
Mg 0.000 6.495 1.677
Tl 2.797 1.783 -0.112
Tl 2.797 -1.814 3.436
Tl 0.000 0.000 3.362
Tl 2.797 1.814 3.436
Tl 2.797 4.783 1.774
Tl 0.000 1.712 6.273
Tl 0.000 4.712 4.387
Pb 0.000 2.787 1.617
Pb 0.000 10.203 1.617
```

Computed properties:
* VASP energy: -26.8 eV for the cell shown
* symmetry: Imm2 (44)
* energy of formation: 0.0323 eV per atom

***

Record 6
Computed, not measured: a geometry-optimized CuIrW3 structure at the PBE level of DFT.

extended XYZ file:
```
5
Lattice="4.434 0.000 0.000 0.000 4.434 0.000 0.000 0.000 4.434" Properties=species:S:1:pos:R:3 pbc="T T T"
Cu 0.000 0.000 0.000
Ir 2.217 2.217 2.217
W 0.000 0.000 2.217
W 0.000 2.217 0.000
W 2.217 0.000 0.000
```

Computed properties:
* energy above the most stable polymorph in this dataset: 0.0000 eV/atom
* VASP energy: -42.8 eV for the cell shown
* symmetry: Pm-3m (221)
* energy of formation: 1.8067 eV per atom